{
  "formula": "Te2RhW",
  "functional": "PBE",
  "state": "relaxed",
  "cell": [[3.266, 0.000, 0.000], [0.000, 3.266, 0.000], [0.000, 0.000, 8.271]],
  "species": ["Te", "Te", "Rh", "W"],
  "fractional_positions": [[0.000, 0.000, 0.000], [0.500, 0.500, 0.425], [0.500, 0.500, 0.831], [0.000, 0.000, 0.617]],
  "space_group": "P4mm",
  "dos_at_fermi_per_ev_cell": 2.95,
  "dft_energy_ev_per_atom": -6.4745
}